1.
! GGA-PBE DyPuCdPt, optimized geometry; values from VASP
! formation energy	-483	meV per atom
&SYSTEM
  ibrav = 0, nat = 4, ntyp = 4
/
ATOMIC_SPECIES
Dy 162.50 Dy.upf
Pu 244.00 Pu.upf
Cd 112.41 Cd.upf
Pt 195.08 Pt.upf
CELL_PARAMETERS angstrom
0.000 3.619 3.619
3.619 0.000 3.619
3.619 3.619 0.000
ATOMIC_POSITIONS crystal
Dy 0.000 0.000 0.000
Pu 0.500 0.500 0.500
Cd 0.250 0.250 0.250
Pt 0.750 0.750 0.750


2.
! GGA-PBE AgBiCl5, optimized geometry; values from VASP
! offset from the most stable computed form	0.10	eV/f.u.
&SYSTEM
  ibrav = 0, nat = 28, ntyp = 3
/
ATOMIC_SPECIES
Ag 107.87 Ag.upf
Bi 208.98 Bi.upf
Cl 35.45 Cl.upf
CELL_PARAMETERS angstrom
6.938 0.000 0.000
0.000 13.044 0.000
-2.572 0.000 10.092
ATOMIC_POSITIONS crystal
Ag 0.003 0.002 0.203
Ag 0.003 0.498 0.703
Ag 0.997 0.502 0.297
Ag 0.997 0.998 0.797
Bi 0.424 0.245 0.669
Bi 0.424 0.255 0.169
Bi 0.576 0.745 0.831
Bi 0.576 0.755 0.331
Cl 0.115 0.112 0.645
Cl 0.115 0.388 0.145
Cl 0.130 0.117 0.053
Cl 0.130 0.383 0.553
Cl 0.299 0.616 0.331
Cl 0.299 0.884 0.831
Cl 0.331 0.592 0.742
Cl 0.331 0.908 0.242
Cl 0.381 0.184 0.400
Cl 0.381 0.316 0.900
Cl 0.619 0.684 0.100
Cl 0.619 0.816 0.600
Cl 0.669 0.092 0.758
Cl 0.669 0.408 0.258
Cl 0.701 0.116 0.169
Cl 0.701 0.384 0.669
Cl 0.870 0.617 0.447
Cl 0.870 0.883 0.947
Cl 0.885 0.612 0.855
Cl 0.885 0.888 0.355


3.
! GGA-PBE YNiGe2Rh, optimized geometry; values from VASP
! formation energy	-751	meV per atom
&SYSTEM
  ibrav = 0, nat = 5, ntyp = 4
/
ATOMIC_SPECIES
Y 88.91 Y.upf
Ni 58.69 Ni.upf
Ge 72.64 Ge.upf
Rh 102.91 Rh.upf
CELL_PARAMETERS angstrom
-2.042 2.042 5.141
2.042 -2.042 5.141
2.042 2.042 -5.141
ATOMIC_POSITIONS crystal
Y 0.000 0.000 0.000
Ni 0.250 0.750 0.500
Ge 0.378 0.378 0.000
Ge 0.622 0.622 0.000
Rh 0.750 0.250 0.500


4.
! GGA-PBE Rb2Cd4GaAu3, optimized geometry; values from VASP
! formation energy	-175	meV per atom
&SYSTEM
  ibrav = 0, nat = 10, ntyp = 4
/
ATOMIC_SPECIES
Rb 85.47 Rb.upf
Cd 112.41 Cd.upf
Ga 69.72 Ga.upf
Au 196.97 Au.upf
CELL_PARAMETERS angstrom
4.928 0.000 0.000
0.000 4.928 0.000
0.000 0.000 11.486
ATOMIC_POSITIONS crystal
Rb 0.000 0.500 0.249
Rb 0.500 0.000 0.751
Cd 0.000 0.000 0.500
Cd 0.000 0.500 0.875
Cd 0.500 0.000 0.125
Cd 0.500 0.500 0.500
Ga 0.500 0.500 0.000
Au 0.000 0.000 0.000
Au 0.000 0.500 0.630
Au 0.500 0.000 0.370


5.
! GGA-PBE Tl2ZnSb, optimized geometry; values from VASP
! offset from the most stable computed form	0.51	eV/f.u.
&SYSTEM
  ibrav = 0, nat = 4, ntyp = 3
/
ATOMIC_SPECIES
Tl 204.38 Tl.upf
Zn 65.41 Zn.upf
Sb 121.76 Sb.upf
CELL_PARAMETERS angstrom
4.503 0.000 0.000
0.000 4.503 0.000
0.000 0.000 5.364
ATOMIC_POSITIONS crystal
Tl 0.000 0.500 0.000
Tl 0.500 0.000 0.000
Zn 0.000 0.000 0.500
Sb 0.500 0.500 0.500


6.
The following is a DFT calculation (GGA-PBE) of a relaxed structure of La3CeHo2Se6. Values from VASP.

Quantum ESPRESSO input file:
```
&SYSTEM
  ibrav = 0, nat = 12, ntyp = 4
/
ATOMIC_SPECIES
La 138.91 La.upf
Ce 140.12 Ce.upf
Ho 164.93 Ho.upf
Se 78.96 Se.upf
CELL_PARAMETERS angstrom
3.629 -6.301 0.000
3.629 6.301 0.000
-2.437 0.000 6.921
ATOMIC_POSITIONS crystal
La 0.000 0.000 0.000
La 0.336 0.664 0.000
La 0.664 0.336 0.000
Ce 0.500 0.500 0.500
Ho 0.167 0.833 0.500
Ho 0.833 0.167 0.500
Se 0.081 0.422 0.266
Se 0.236 0.236 0.732
Se 0.422 0.081 0.266
Se 0.578 0.919 0.734
Se 0.764 0.764 0.268
Se 0.919 0.578 0.734
```


Number 1: electronic total energy -6.96 eV per atom, N(E_F) 9.07 states/eV/cell. Number 2: electronic total energy -2.92 eV per atom, N(E_F) 15.58 states/eV/cell. Number 3: electronic total energy -6.52 eV per atom, N(E_F) 4.46 states/eV/cell. Number 4: electronic total energy -2.02 eV per atom, N(E_F) 3.59 states/eV/cell. Number 5: electronic total energy -2.38 eV per atom, N(E_F) 2.18 states/eV/cell. Number 6: electronic total energy -6.11 eV per atom, N(E_F) 11.51 states/eV/cell.